VASP calculation (PBE-GGA) on a geometry-optimized MgCdGa2 structure.

Cell lengths 3.513, 3.513, 6.634 Å; angles 90.00, 90.00, 90.00 degrees
Fractional coordinates of all 4 atoms:
Cd: 0.500 0.500 0.500
Ga: 0.000 0.000 0.757
Ga: 0.000 0.000 0.243
Mg: 0.500 0.500 0.000

* formation energy from the elements: -0.05 eV/f.u.
* Fermi-level density of states: 1.19 states/eV per cell
* magnetization: 0.0 μB per formula unit